# Li2NpUSe4 (PBE, optimized geometry)
data_Li2NpUSe4
_chemical_formula_sum 'Li2 Np1 U1 Se4'
_cell_length_a 6.9619
_cell_length_b 4.0540
_cell_length_c 7.0118
_cell_angle_alpha 90.00
_cell_angle_beta 109.60
_cell_angle_gamma 90.00
_space_group_name_H-M_alt 'P 1 2/m 1'
_space_group_IT_number 10
loop_
_space_group_symop_operation_xyz
'x,y,z'
'-x,-y,-z'
'-x,y,-z'
'x,-y,z'
loop_
_atom_site_label
_atom_site_fract_x
_atom_site_fract_y
_atom_site_fract_z
Li1 0.0000 0.0000 0.0000
Li2 0.0000 0.5000 0.5000
Np1 0.5000 0.0000 0.5000
U1 0.5000 0.5000 0.0000
Se1 0.2404 0.0000 0.7488
Se2 0.2415 0.5000 0.2454
# N(E_F), states/eV/atom: 1.670
# E_tot, eV per atom: -6.443

---

# Ac2Si2F (PBE, optimized geometry)
data_Ac2Si2F
_chemical_formula_sum 'Ac4 Si4 F2'
_cell_length_a 4.1172
_cell_length_b 15.5080
_cell_length_c 4.0809
_cell_angle_alpha 90.00
_cell_angle_beta 90.00
_cell_angle_gamma 90.00
_space_group_name_H-M_alt 'C m m m'
_space_group_IT_number 65
_space_group_name_Hall '-C 2 2'
loop_
_atom_site_label
_atom_site_fract_x
_atom_site_fract_y
_atom_site_fract_z
Ac1 0.0000 0.1266 0.0000
Si1 0.0000 0.2904 0.5000
F1 0.0000 0.0000 0.5000
# N(E_F), states/eV/atom: 0.492
# E_tot, eV per atom: -5.550
# Offset from the most stable computed form, eV per atom: 0.000

---

# BaSrEuNbO6 (PBE, optimized geometry)
data_BaSrEuNbO6
_chemical_formula_sum 'Ba4 Sr4 Eu4 Nb4 O24'
_cell_length_a 8.5854
_cell_length_b 8.5854
_cell_length_c 8.5854
_cell_angle_alpha 90.00
_cell_angle_beta 90.00
_cell_angle_gamma 90.00
_space_group_name_H-M_alt 'F -4 3 m'
_space_group_IT_number 216
_space_group_name_Hall 'F -4 2 3'
loop_
_atom_site_label
_atom_site_fract_x
_atom_site_fract_y
_atom_site_fract_z
Ba1 0.0000 0.0000 0.0000
Sr1 0.0000 0.0000 0.5000
Eu1 0.2500 0.2500 0.2500
Nb1 0.2500 0.2500 0.7500
O1 0.0154 0.2500 0.7500
# N(E_F), states/eV/atom: 0.806
# E_tot, eV per atom: -8.128
# Offset from the most stable computed form, eV per atom: 0.043

---

# KAcZn (PBE, optimized geometry)
data_KAcZn
_chemical_formula_sum 'K4 Ac4 Zn4'
_cell_length_a 10.6834
_cell_length_b 4.2090
_cell_length_c 12.7071
_cell_angle_alpha 90.00
_cell_angle_beta 98.27
_cell_angle_gamma 90.00
_space_group_name_H-M_alt 'C 1 2/m 1'
_space_group_IT_number 12
loop_
_space_group_symop_operation_xyz
'x,y,z'
'-x,-y,-z'
'-x,y,-z'
'x,-y,z'
'x+1/2,y+1/2,z'
'-x+1/2,-y+1/2,-z'
'-x+1/2,y+1/2,-z'
'x+1/2,-y+1/2,z'
loop_
_atom_site_label
_atom_site_fract_x
_atom_site_fract_y
_atom_site_fract_z
K1 0.1111 0.0000 0.3667
Ac1 0.1297 0.5000 0.8990
Zn1 0.1723 0.5000 0.1616
# N(E_F), states/eV/atom: 0.864
# E_tot, eV per atom: -2.025
# ΔH_f (0 K), eV/atom: 0.135

---

# MgBiTe2O6 (PBE, optimized geometry)
data_MgBiTe2O6
_chemical_formula_sum 'Mg4 Bi4 Te8 O24'
_cell_length_a 12.7385
_cell_length_b 7.3851
_cell_length_c 8.3318
_cell_angle_alpha 90.00
_cell_angle_beta 129.73
_cell_angle_gamma 90.00
_space_group_name_H-M_alt 'C 1 2/c 1'
_space_group_IT_number 15
loop_
_space_group_symop_operation_xyz
'x,y,z'
'-x,-y,-z'
'-x,y,-z+1/2'
'x,-y,z+1/2'
'x+1/2,y+1/2,z'
'-x+1/2,-y+1/2,-z'
'-x+1/2,y+1/2,-z+1/2'
'x+1/2,-y+1/2,z+1/2'
loop_
_atom_site_label
_atom_site_fract_x
_atom_site_fract_y
_atom_site_fract_z
Mg1 0.0000 0.1948 0.2500
Bi1 0.0000 0.3144 0.7500
Te1 0.2488 0.4677 0.7508
O1 0.1136 0.0220 0.7775
O2 0.1186 0.3843 0.4681
O3 0.1465 0.2780 0.1235
# N(E_F), states/eV/atom: 0.140
# E_tot, eV per atom: -5.434

---

# Li2Ca2Ac3Au4 (PBE, optimized geometry)
data_Li2Ca2Ac3Au4
_chemical_formula_sum 'Li2 Ca2 Ac3 Au4'
_cell_length_a 4.7557
_cell_length_b 4.7557
_cell_length_c 16.1366
_cell_angle_alpha 90.00
_cell_angle_beta 90.00
_cell_angle_gamma 120.00
_space_group_name_H-M_alt 'P -3 m 1'
_space_group_IT_number 164
_space_group_name_Hall '-P 3 2"'
loop_
_atom_site_label
_atom_site_fract_x
_atom_site_fract_y
_atom_site_fract_z
Li1 0.3333 0.6667 0.1280
Ca1 0.3333 0.6667 0.5710
Ac1 0.0000 0.0000 0.0000
Ac2 0.0000 0.0000 0.2483
Au1 0.3333 0.6667 0.3565
Au2 0.3333 0.6667 0.8775
# N(E_F), states/eV/atom: 0.800
# E_tot, eV per atom: -3.612
# ΔH_f (0 K), eV/atom: -0.588

---

# La3InIBr (PBE, optimized geometry)
data_La3InIBr
_chemical_formula_sum 'La6 In2 I2 Br2'
_cell_length_a 9.8929
_cell_length_b 4.2478
_cell_length_c 10.2941
_cell_angle_alpha 90.00
_cell_angle_beta 102.96
_cell_angle_gamma 90.00
_space_group_name_H-M_alt 'P 1 21/m 1'
_space_group_IT_number 11
loop_
_space_group_symop_operation_xyz
'x,y,z'
'-x,-y,-z'
'-x,y+1/2,-z'
'x,-y+1/2,z'
loop_
_atom_site_label
_atom_site_fract_x
_atom_site_fract_y
_atom_site_fract_z
La1 0.1442 0.2500 0.0973
La2 0.1451 0.2500 0.4691
La3 0.3080 0.7500 0.8238
In1 0.0475 0.2500 0.7610
I1 0.4136 0.7500 0.1526
Br1 0.3672 0.7500 0.5479
# N(E_F), states/eV/atom: 0.922
# E_tot, eV per atom: -4.399

---

# CsBr2N2 (PBE, optimized geometry)
data_CsBr2N2
_chemical_formula_sum 'Cs2 Br4 N4'
_cell_length_a 7.0311
_cell_length_b 7.0229
_cell_length_c 8.1804
_cell_angle_alpha 90.00
_cell_angle_beta 93.07
_cell_angle_gamma 90.00
_space_group_name_H-M_alt 'C 1 2/m 1'
_space_group_IT_number 12
loop_
_space_group_symop_operation_xyz
'x,y,z'
'-x,-y,-z'
'-x,y,-z'
'x,-y,z'
'x+1/2,y+1/2,z'
'-x+1/2,-y+1/2,-z'
'-x+1/2,y+1/2,-z'
'x+1/2,-y+1/2,z'
loop_
_atom_site_label
_atom_site_fract_x
_atom_site_fract_y
_atom_site_fract_z
Cs1 0.0000 0.0000 0.0000
Br1 0.0101 0.5000 0.1766
N1 0.0041 0.0000 0.4322
# E_tot, eV per atom: -4.804
# Offset from the most stable computed form, eV per atom: 0.000

---

# EuDyZn (PBE, optimized geometry)
data_EuDyZn
_chemical_formula_sum 'Eu2 Dy2 Zn2'
_cell_length_a 3.6726
_cell_length_b 3.6726
_cell_length_c 12.7004
_cell_angle_alpha 90.00
_cell_angle_beta 90.00
_cell_angle_gamma 90.00
_space_group_name_H-M_alt 'I 4 m m'
_space_group_IT_number 107
_space_group_name_Hall 'I 4 -2'
loop_
_atom_site_label
_atom_site_fract_x
_atom_site_fract_y
_atom_site_fract_z
Eu1 0.0000 0.0000 0.0000
Dy1 0.0000 0.0000 0.2771
Zn1 0.0000 0.0000 0.6556
# N(E_F), states/eV/atom: 0.878
# E_tot, eV per atom: -5.557
# ΔH_f (0 K), eV/atom: -0.173
# Offset from the most stable computed form, eV per atom: 0.000

---

# SrRh2Br (PBE, optimized geometry)
data_SrRh2Br
_chemical_formula_sum 'Sr2 Rh4 Br2'
_cell_length_a 3.8438
_cell_length_b 5.4908
_cell_length_c 8.9143
_cell_angle_alpha 90.00
_cell_angle_beta 90.00
_cell_angle_gamma 90.00
_space_group_name_H-M_alt 'I m m 2'
_space_group_IT_number 44
loop_
_space_group_symop_operation_xyz
'x,y,z'
'-x,-y,z'
'-x,y,z'
'x,-y,z'
'x+1/2,y+1/2,z+1/2'
'-x+1/2,-y+1/2,z+1/2'
'-x+1/2,y+1/2,z+1/2'
'x+1/2,-y+1/2,z+1/2'
loop_
_atom_site_label
_atom_site_fract_x
_atom_site_fract_y
_atom_site_fract_z
Sr1 0.0000 0.0000 0.0000
Rh1 0.0000 0.0000 0.4971
Rh2 0.0000 0.5000 0.1721
Br1 0.0000 0.5000 0.8016
# N(E_F), states/eV/atom: 1.016
# E_tot, eV per atom: -4.553
# Offset from the most stable computed form, eV per atom: 0.217

---

# TbY5HoSc2 (PBE, optimized geometry)
data_TbY5HoSc2
_chemical_formula_sum 'Tb4 Y20 Ho4 Sc8'
_cell_length_a 5.6080
_cell_length_b 21.3512
_cell_length_c 9.3807
_cell_angle_alpha 90.00
_cell_angle_beta 90.00
_cell_angle_gamma 90.00
_space_group_name_H-M_alt 'C m c 21'
_space_group_IT_number 36
loop_
_space_group_symop_operation_xyz
'x,y,z'
'-x,-y,z+1/2'
'-x,y,z'
'x,-y,z+1/2'
'x+1/2,y+1/2,z'
'-x+1/2,-y+1/2,z+1/2'
'-x+1/2,y+1/2,z'
'x+1/2,-y+1/2,z+1/2'
loop_
_atom_site_label
_atom_site_fract_x
_atom_site_fract_y
_atom_site_fract_z
Tb1 0.0000 0.1840 0.0000
Y1 0.0000 0.0112 0.9947
Y2 0.0000 0.2640 0.3184
Y3 0.0000 0.3061 0.6975
Y4 0.0000 0.3883 0.0274
Y5 0.0000 0.4694 0.7294
Ho1 0.0000 0.4014 0.4011
Sc1 0.0000 0.1128 0.3051
Sc2 0.0000 0.1340 0.6850
# N(E_F), states/eV/atom: 1.625
# E_tot, eV per atom: -5.855
# ΔH_f (0 K), eV/atom: 0.166

---

# Cs4Cd3Pt2 (PBE, optimized geometry)
data_Cs4Cd3Pt2
_chemical_formula_sum 'Cs8 Cd6 Pt4'
_cell_length_a 18.7300
_cell_length_b 4.6081
_cell_length_c 9.0562
_cell_angle_alpha 90.00
_cell_angle_beta 107.93
_cell_angle_gamma 90.00
_space_group_name_H-M_alt 'C 1 2/m 1'
_space_group_IT_number 12
loop_
_space_group_symop_operation_xyz
'x,y,z'
'-x,-y,-z'
'-x,y,-z'
'x,-y,z'
'x+1/2,y+1/2,z'
'-x+1/2,-y+1/2,-z'
'-x+1/2,y+1/2,-z'
'x+1/2,-y+1/2,z'
loop_
_atom_site_label
_atom_site_fract_x
_atom_site_fract_y
_atom_site_fract_z
Cs1 0.0786 0.0000 0.3813
Cs2 0.2269 0.5000 0.1799
Cd1 0.0000 0.5000 0.0000
Cd2 0.0964 0.5000 0.7834
Pt1 0.0686 0.0000 0.9394
# N(E_F), states/eV/atom: 0.412
# E_tot, eV per atom: -2.153
# ΔH_f (0 K), eV/atom: -0.126

---

# AlReSeBr2 (PBE, optimized geometry)
data_AlReSeBr2
_chemical_formula_sum 'Al1 Re1 Se1 Br2'
_cell_length_a 5.3338
_cell_length_b 5.3338
_cell_length_c 4.7201
_cell_angle_alpha 90.00
_cell_angle_beta 90.00
_cell_angle_gamma 90.00
_space_group_name_H-M_alt 'P 4/m m m'
_space_group_IT_number 123
_space_group_name_Hall '-P 4 2'
loop_
_atom_site_label
_atom_site_fract_x
_atom_site_fract_y
_atom_site_fract_z
Al1 0.0000 0.0000 0.0000
Re1 0.5000 0.5000 0.5000
Se1 0.5000 0.5000 0.0000
Br1 0.0000 0.5000 0.5000
# N(E_F), states/eV/atom: 0.470
# E_tot, eV per atom: -4.200
# Offset from the most stable computed form, eV per atom: 0.000

---

# K2ZnRh (PBE, optimized geometry)
data_K2ZnRh
_chemical_formula_sum 'K2 Zn1 Rh1'
_cell_length_a 4.8739
_cell_length_b 4.8716
_cell_length_c 6.3949
_cell_angle_alpha 90.00
_cell_angle_beta 97.39
_cell_angle_gamma 90.00
_space_group_name_H-M_alt 'P 1 2/m 1'
_space_group_IT_number 10
loop_
_space_group_symop_operation_xyz
'x,y,z'
'-x,-y,-z'
'-x,y,-z'
'x,-y,z'
loop_
_atom_site_label
_atom_site_fract_x
_atom_site_fract_y
_atom_site_fract_z
K1 0.1993 0.0000 0.2743
Zn1 0.5000 0.5000 0.0000
Rh1 0.0000 0.5000 0.0000
# N(E_F), states/eV/atom: 0.972
# E_tot, eV per atom: -2.303
# ΔH_f (0 K), eV/atom: 0.402